# 1
The following is a DFT calculation (PBE-GGA) of crystalline TaAs at its relaxed geometry.

## Properties
Uncorrected energy ... -8.4021 eV per atom
SG ... Amm2, No. 38
Calculated volume ... 116.2 Å³/cell
Total moment ... 0.00 μB/f.u.
Formation enthalpy at 0 K ... -0.151 eV per atom

Cell lengths 3.676, 5.812, 5.812 Å; angles 110.73, 90.00, 90.00 degrees
Fractional coordinates of all 6 atoms:
Ta1 0.000 0.000 0.000
Ta2 0.500 0.273 0.817
Ta3 0.500 0.817 0.273
As1 0.000 0.167 0.477
As2 0.000 0.477 0.167
As3 0.500 0.719 0.719

=====

# 2
The following is a DFT calculation (PBE-GGA) of crystalline K6Au3Se at its relaxed geometry.

## Properties
Uncorrected energy ... -2.4562 eV per atom
SG ... Pnnm, No. 58
Uncorrected formation energy ... -0.466 eV per atom
Calculated volume ... 740.1 Å³/cell
Total moment ... 0.00 μB/f.u.

Cell lengths 9.648, 13.598, 5.641 Å; angles 90.00, 90.00, 90.00 degrees
Fractional coordinates of all 20 atoms:
K1 0.017 0.243 0.000
K2 0.158 0.084 0.500
K3 0.176 0.436 0.500
K4 0.324 0.936 0.000
K5 0.342 0.584 0.000
K6 0.483 0.743 0.500
K7 0.517 0.257 0.500
K8 0.658 0.416 0.000
K9 0.676 0.064 0.000
K10 0.824 0.564 0.500
K11 0.842 0.916 0.500
K12 0.983 0.757 0.000
Au1 0.000 0.500 0.000
Au2 0.136 0.693 0.500
Au3 0.364 0.193 0.000
Au4 0.500 0.000 0.500
Au5 0.636 0.807 0.000
Au6 0.864 0.307 0.500
Se1 0.000 0.000 0.000
Se2 0.500 0.500 0.500

=====

# 3
The following is a DFT calculation (PBE-GGA) of crystalline Pr2AgH at its relaxed geometry.

## Properties
Uncorrected energy ... -4.1275 eV per atom
Energy above the lowest structure with this stoichiometry ... 0 meV per atom
SG ... R3m, No. 160
Calculated volume ... 94.8 Å³/cell
Total moment ... 0.00 μB/f.u.

Cell lengths 7.693, 7.693, 7.693 Å; angles 29.03, 29.03, 29.03 degrees
Fractional coordinates of all 4 atoms:
Pr1 0.000 0.000 0.000
Pr2 0.202 0.202 0.202
Ag1 0.434 0.434 0.434
H1 0.601 0.601 0.601

=====

# 4
The following is a DFT calculation (PBE-GGA) of crystalline ScURhO6 at its relaxed geometry.

## Properties
Uncorrected energy ... -8.6263 eV per atom
SG ... P-31c, No. 163
Uncorrected formation energy ... -2.546 eV per atom
Calculated volume ... 226.3 Å³/cell
Total moment ... 0.00 μB/f.u.

Cell lengths 5.212, 5.212, 9.620 Å; angles 90.00, 90.00, 120.00 degrees
Fractional coordinates of all 18 atoms:
Sc1 0.000 0.000 0.000
Sc2 0.000 0.000 0.500
U1 0.333 0.667 0.250
U2 0.667 0.333 0.750
Rh1 0.333 0.667 0.750
Rh2 0.667 0.333 0.250
O1 0.008 0.339 0.630
O2 0.008 0.669 0.870
O3 0.331 0.339 0.870
O4 0.331 0.992 0.630
O5 0.339 0.008 0.130
O6 0.339 0.331 0.370
O7 0.661 0.669 0.630
O8 0.661 0.992 0.870
O9 0.669 0.008 0.370
O10 0.669 0.661 0.130
O11 0.992 0.331 0.130
O12 0.992 0.661 0.370

=====

# 5
The following is a DFT calculation (PBE-GGA) of crystalline CsLiCr2Sn at its relaxed geometry.

## Properties
Uncorrected energy ... -3.3308 eV per atom
SG ... P4/mmm, No. 123
Calculated volume ... 231.5 Å³/cell
Total moment ... 10.17 μB/f.u.
Formation enthalpy at 0 K ... 1.873 eV per atom

Cell lengths 6.018, 6.018, 6.392 Å; angles 90.00, 90.00, 90.00 degrees
Fractional coordinates of all 5 atoms:
Cs1 0.000 0.000 0.000
Li1 0.500 0.500 0.500
Cr1 0.000 0.500 0.000
Cr2 0.500 0.000 0.000
Sn1 0.000 0.000 0.500

=====

# 6
The following is a DFT calculation (PBE-GGA) of crystalline Li4AsSe at its relaxed geometry.

## Properties
Uncorrected energy ... -2.8426 eV per atom
SG ... F-43m, No. 216
Uncorrected formation energy ... -0.211 eV per atom
Calculated volume ... 97.0 Å³/cell
Total moment ... 0.00 μB/f.u.

Cell lengths 5.157, 5.157, 5.157 Å; angles 60.00, 60.00, 60.00 degrees
Fractional coordinates of all 6 atoms:
Li1 0.376 0.376 0.376
Li2 0.376 0.376 0.871
Li3 0.376 0.871 0.376
Li4 0.871 0.376 0.376
As1 0.750 0.750 0.750
Se1 0.000 0.000 0.000

=====

# 7
The following is a DFT calculation (PBE-GGA) of crystalline Tb2YP at its relaxed geometry.

## Properties
Uncorrected energy ... -5.9680 eV per atom
SG ... R-3m, No. 166
Calculated volume ... 118.4 Å³/cell
Total moment ... 0.54 μB/f.u.
Formation enthalpy at 0 K ... -0.684 eV per atom

Cell lengths 9.678, 9.678, 9.678 Å; angles 22.70, 22.70, 22.70 degrees
Fractional coordinates of all 4 atoms:
Tb1 0.225 0.225 0.225
Tb2 0.775 0.775 0.775
Y1 0.000 0.000 0.000
P1 0.500 0.500 0.500

=====

# 8
The following is a DFT calculation (PBE-GGA) of crystalline K2InRu at its relaxed geometry.

## Properties
Uncorrected energy ... -3.1975 eV per atom
SG ... Pm, No. 6
Calculated volume ... 141.1 Å³/cell
Total moment ... 0.00 μB/f.u.
Formation enthalpy at 0 K ... 0.355 eV per atom

Cell lengths 3.769, 3.728, 10.205 Å; angles 90.00, 100.20, 90.00 degrees
Fractional coordinates of all 4 atoms:
K1 0.000 0.000 0.000
K2 0.284 0.500 0.589
In1 0.633 0.500 0.278
Ru1 0.149 0.000 0.312

=====

# 9
The following is a DFT calculation (PBE-GGA) of crystalline MgGa2Sn8 at its relaxed geometry.

## Properties
Uncorrected energy ... -3.5420 eV per atom
SG ... C2/m, No. 12
Calculated volume ... 316.2 Å³/cell
Total moment ... 0.00 μB/f.u.
Formation enthalpy at 0 K ... 0.064 eV per atom

Cell lengths 7.428, 7.428, 5.878 Å; angles 96.60, 96.60, 80.54 degrees
Fractional coordinates of all 11 atoms:
Mg1 0.000 0.000 0.000
Ga1 0.120 0.120 0.570
Ga2 0.880 0.880 0.430
Sn1 0.212 0.667 0.240
Sn2 0.259 0.259 0.171
Sn3 0.333 0.788 0.760
Sn4 0.375 0.375 0.712
Sn5 0.625 0.625 0.288
Sn6 0.667 0.212 0.240
Sn7 0.741 0.741 0.829
Sn8 0.788 0.333 0.760

=====

# 10
The following is a DFT calculation (PBE-GGA) of crystalline TbTmTh2Te5 at its relaxed geometry.

## Properties
Uncorrected energy ... -4.9551 eV per atom
SG ... P4/mmm, No. 123
Uncorrected formation energy ... -0.550 eV per atom
Calculated volume ... 334.5 Å³/cell
Total moment ... 0.00 μB/f.u.

Cell lengths 5.379, 5.379, 11.563 Å; angles 90.00, 90.00, 90.00 degrees
Fractional coordinates of all 9 atoms:
Tb1 0.000 0.000 0.000
Tm1 0.000 0.000 0.500
Th1 0.500 0.500 0.337
Th2 0.500 0.500 0.663
Te1 0.000 0.000 0.248
Te2 0.000 0.000 0.752
Te3 0.000 0.500 0.500
Te4 0.500 0.000 0.500
Te5 0.500 0.500 0.000

=====

# 11
The following is a DFT calculation (PBE-GGA) of crystalline Rb3TbNp3Se8 at its relaxed geometry.

## Properties
Uncorrected energy ... -6.3114 eV per atom
SG ... R-3m, No. 166
Uncorrected formation energy ... -1.363 eV per atom
Calculated volume ... 502.7 Å³/cell
Total moment ... 11.00 μB/f.u.

Cell lengths 9.458, 9.458, 9.458 Å; angles 53.18, 53.18, 53.18 degrees
Fractional coordinates of all 15 atoms:
Rb1 0.000 0.500 0.500
Rb2 0.500 0.000 0.500
Rb3 0.500 0.500 0.000
Tb1 0.500 0.500 0.500
Np1 0.000 0.000 0.500
Np2 0.000 0.500 0.000
Np3 0.500 0.000 0.000
Se1 0.229 0.732 0.732
Se2 0.231 0.231 0.231
Se3 0.268 0.268 0.771
Se4 0.268 0.771 0.268
Se5 0.732 0.229 0.732
Se6 0.732 0.732 0.229
Se7 0.769 0.769 0.769
Se8 0.771 0.268 0.268

=====

# 12
The following is a DFT calculation (PBE-GGA) of crystalline ScAg3 at its relaxed geometry.

## Properties
Uncorrected energy ... -3.9095 eV per atom
SG ... Pm-3n, No. 223
Calculated volume ... 150.1 Å³/cell
Total moment ... 0.00 μB/f.u.
Formation enthalpy at 0 K ... -0.188 eV per atom

Cell lengths 5.314, 5.314, 5.314 Å; angles 90.00, 90.00, 90.00 degrees
Fractional coordinates of all 8 atoms:
Sc1 0.000 0.000 0.000
Sc2 0.500 0.500 0.500
Ag1 0.000 0.250 0.500
Ag2 0.000 0.750 0.500
Ag3 0.250 0.500 0.000
Ag4 0.500 0.000 0.250
Ag5 0.500 0.000 0.750
Ag6 0.750 0.500 0.000

=====

Please write out number 4 again, unchanged.
The following is a DFT calculation (PBE-GGA) of crystalline ScURhO6 at its relaxed geometry.

## Properties
Uncorrected energy ... -8.6263 eV per atom
SG ... P-31c, No. 163
Uncorrected formation energy ... -2.546 eV per atom
Calculated volume ... 226.3 Å³/cell
Total moment ... 0.00 μB/f.u.

Cell lengths 5.212, 5.212, 9.620 Å; angles 90.00, 90.00, 120.00 degrees
Fractional coordinates of all 18 atoms:
Sc1 0.000 0.000 0.000
Sc2 0.000 0.000 0.500
U1 0.333 0.667 0.250
U2 0.667 0.333 0.750
Rh1 0.333 0.667 0.750
Rh2 0.667 0.333 0.250
O1 0.008 0.339 0.630
O2 0.008 0.669 0.870
O3 0.331 0.339 0.870
O4 0.331 0.992 0.630
O5 0.339 0.008 0.130
O6 0.339 0.331 0.370
O7 0.661 0.669 0.630
O8 0.661 0.992 0.870
O9 0.669 0.008 0.370
O10 0.669 0.661 0.130
O11 0.992 0.331 0.130
O12 0.992 0.661 0.370

=====

> What is the total moment in the sixth record?

0.00 μB/f.u.

=====

> The highest total moment belongs to which entry?

Rb3TbNp3Se8